[1]
Entry from Alexandria via LeMat-Bulk: crystalline CaTb4PuSe8 at its relaxed geometry (PBE-GGA).

The structure in extended XYZ format:
```
14
Lattice="4.254 2.456 6.993 -4.254 2.456 6.993 0.000 -4.912 6.993" Properties=species:S:1:pos:R:3 pbc="T T T"
Ca 0.000 0.000 0.000
Tb -2.165 -1.250 9.581
Tb 0.000 0.000 5.216
Tb 2.165 -1.250 9.581
Tb 0.000 2.500 9.581
Pu 0.000 0.000 13.111
Se 0.000 -2.334 11.242
Se -2.021 1.167 11.242
Se 0.000 0.000 8.013
Se -1.979 -1.142 14.965
Se 2.021 1.167 11.242
Se 0.000 0.000 18.142
Se 1.979 -1.142 14.965
Se 0.000 2.285 14.965
```

Properties
- Size of the total moment: 5.95 μB/f.u.
- ρ: 5.88 g cm⁻³
- Total DFT energy (no corrections): -6.22 eV/atom
- ΔE_f (raw): -1742.1 meV/atom

=====

[2]
Entry from Alexandria via LeMat-Bulk: crystalline CaPu2ThSe4 at its relaxed geometry (PBE-GGA).

The structure in extended XYZ format:
```
8
Lattice="7.231 0.000 0.000 0.000 4.146 0.000 -2.383 0.000 6.871" Properties=species:S:1:pos:R:3 pbc="T T T"
Ca 0.000 0.000 0.000
Pu 2.424 0.000 3.435
Pu 3.615 2.073 0.000
Th -1.192 2.073 3.435
Se 1.220 2.073 1.702
Se 0.041 0.000 5.190
Se 4.807 0.000 1.681
Se 3.628 2.073 5.168
```

Properties
- Size of the total moment: 12.01 μB/f.u.
- ρ: 8.67 g cm⁻³
- Total DFT energy (no corrections): -8.13 eV/atom
- ΔE_f (raw): -1624.4 meV/atom

=====

[3]
Entry from Alexandria via LeMat-Bulk: crystalline CaTmPu2Se4 at its relaxed geometry (PBE-GGA).

The structure in extended XYZ format:
```
8
Lattice="7.145 0.000 0.000 0.000 4.115 0.000 -2.406 0.000 6.780" Properties=species:S:1:pos:R:3 pbc="T T T"
Ca 0.000 0.000 0.000
Tm -1.203 2.057 3.390
Pu 2.369 0.000 3.390
Pu 3.572 2.057 0.000
Se -0.062 0.000 5.045
Se 1.135 2.057 1.721
Se 3.604 2.057 5.059
Se 4.801 0.000 1.735
```

Properties
- Size of the total moment: 0.02 μB/f.u.
- ρ: 8.44 g cm⁻³
- Total DFT energy (no corrections): -7.79 eV/atom
- ΔE_f (raw): -1656.2 meV/atom

=====

[4]
Entry from Alexandria via LeMat-Bulk: crystalline CaTm2PuSe4 at its relaxed geometry (PBE-GGA).

The structure in extended XYZ format:
```
8
Lattice="-2.887 2.887 5.790 2.887 -2.887 5.790 2.887 2.887 -5.790" Properties=species:S:1:pos:R:3 pbc="T T T"
Ca 0.000 0.000 0.000
Tm 0.000 0.000 5.790
Tm 0.000 2.887 2.895
Pu 2.887 0.000 2.895
Se 0.000 0.000 2.927
Se 0.000 2.887 0.052
Se 0.000 0.000 8.653
Se 0.000 2.887 5.738
```

Properties
- Size of the total moment: 5.92 μB/f.u.
- ρ: 8.06 g cm⁻³
- Total DFT energy (no corrections): -6.62 eV/atom
- ΔE_f (raw): -1715.9 meV/atom

=====

[5]
Entry from Alexandria via LeMat-Bulk: crystalline Ca3Y3PuSe8 at its relaxed geometry (PBE-GGA).

The structure in extended XYZ format:
```
15
Lattice="4.117 2.377 6.842 -4.117 2.377 6.842 0.000 -4.754 6.842" Properties=species:S:1:pos:R:3 pbc="T T T"
Ca -2.059 -1.189 6.842
Ca -2.059 1.189 13.683
Ca 0.000 2.377 6.842
Y -4.117 0.000 10.263
Y -2.059 1.189 3.421
Y 2.059 1.189 3.421
Pu 0.000 0.000 10.263
Se -2.097 -1.211 11.942
Se 0.000 0.000 5.098
Se 0.000 -2.421 8.584
Se -2.097 1.211 8.584
Se 2.097 -1.211 11.942
Se 0.000 2.421 11.942
Se 0.000 0.000 15.427
Se 2.097 1.211 8.584
```

Properties
- Size of the total moment: 5.72 μB/f.u.
- ρ: 5.22 g cm⁻³
- Total DFT energy (no corrections): -6.36 eV/atom
- ΔE_f (raw): -1850.9 meV/atom

=====

[6]
Entry from Alexandria via LeMat-Bulk: crystalline Ca3YPu2Se6 at its relaxed geometry (PBE-GGA).

The structure in extended XYZ format:
```
12
Lattice="3.603 -6.239 0.000 3.603 6.239 0.000 -2.403 0.000 6.870" Properties=species:S:1:pos:R:3 pbc="T T T"
Ca 0.000 0.000 0.000
Ca 3.603 2.089 0.000
Ca 3.603 -2.089 0.000
Y 2.401 0.000 3.435
Pu 2.401 4.161 3.435
Pu 2.401 -4.161 3.435
Se 1.215 2.054 1.728
Se 0.028 0.000 5.143
Se 1.215 -2.054 1.728
Se 3.587 2.054 5.142
Se 4.774 0.000 1.727
Se 3.587 -2.054 5.142
```

Properties
- Size of the total moment: 12.16 μB/f.u.
- ρ: 6.29 g cm⁻³
- Total DFT energy (no corrections): -6.95 eV/atom
- ΔE_f (raw): -1779.2 meV/atom